Entry 1:
# Ca2TaCd, optimized geometry, DFT GGA-PBE
# Formation energy from the elements = 565 meV/atom
# Theoretical density = 6.02 g/cm3
data_Ca2TaCd
_space_group_name_H-M_alt 'P 4/m m m'
_space_group_IT_number 123
_space_group_name_Hall '-P 4 2'
_cell_length_a 4.6180
_cell_length_b 4.6180
_cell_length_c 4.8286
_cell_angle_alpha 90.00
_cell_angle_beta 90.00
_cell_angle_gamma 90.00
loop_
_atom_site_label
_atom_site_type_symbol
_atom_site_fract_x
_atom_site_fract_y
_atom_site_fract_z
_atom_site_occupancy
Ca1 Ca 0.0000 0.5000 0.0000 1
Ta1 Ta 0.0000 0.0000 0.5000 1
Cd1 Cd 0.5000 0.5000 0.5000 1

***

Entry 2:
# RbBaAlF6, optimized geometry, DFT GGA-PBE
# Energy relative to the elements, uncorrected = -3.493 eV/atom
# Theoretical density = 3.87 g/cm3
data_RbBaAlF6
_space_group_name_H-M_alt 'P -3 1 c'
_space_group_IT_number 163
_space_group_name_Hall '-P 3 2c'
_cell_length_a 6.3972
_cell_length_b 6.3972
_cell_length_c 8.8135
_cell_angle_alpha 90.00
_cell_angle_beta 90.00
_cell_angle_gamma 120.00
loop_
_atom_site_label
_atom_site_type_symbol
_atom_site_fract_x
_atom_site_fract_y
_atom_site_fract_z
_atom_site_occupancy
Rb1 Rb 0.0000 0.0000 0.0000 1
Ba1 Ba 0.3333 0.6667 0.2500 1
Al1 Al 0.3333 0.6667 0.7500 1
F1 F 0.0928 0.4298 0.6336 1

***

Entry 3:
# ScBeAgPb2, optimized geometry, DFT GGA-PBE
# Formation energy from the elements = 1067 meV/atom
# Theoretical density = 5.80 g/cm3
data_ScBeAgPb2
_space_group_name_H-M_alt 'P 4/m m m'
_space_group_IT_number 123
_space_group_name_Hall '-P 4 2'
_cell_length_a 5.6347
_cell_length_b 5.6347
_cell_length_c 5.1951
_cell_angle_alpha 90.00
_cell_angle_beta 90.00
_cell_angle_gamma 90.00
loop_
_atom_site_label
_atom_site_type_symbol
_atom_site_fract_x
_atom_site_fract_y
_atom_site_fract_z
_atom_site_occupancy
Sc1 Sc 0.0000 0.0000 0.0000 1
Be1 Be 0.5000 0.5000 0.5000 1
Ag1 Ag 0.0000 0.0000 0.5000 1
Pb1 Pb 0.0000 0.5000 0.0000 1

***

Entry 4:
# HfAlBi2, optimized geometry, DFT GGA-PBE
# Formation energy from the elements = 427 meV/atom
# Theoretical density = 7.12 g/cm3
data_HfAlBi2
_space_group_name_H-M_alt 'I -4 2 d'
_space_group_IT_number 122
_space_group_name_Hall 'I -4 2bw'
_cell_length_a 6.6944
_cell_length_b 6.6944
_cell_length_c 12.9810
_cell_angle_alpha 90.00
_cell_angle_beta 90.00
_cell_angle_gamma 90.00
loop_
_atom_site_label
_atom_site_type_symbol
_atom_site_fract_x
_atom_site_fract_y
_atom_site_fract_z
_atom_site_occupancy
Hf1 Hf 0.0000 0.0000 0.0000 1
Al1 Al 0.0000 0.0000 0.5000 1
Bi1 Bi 0.2444 0.2500 0.6250 1

***

Entry 5:
# W2Se, optimized geometry, DFT GGA-PBE
# Energy relative to the elements, uncorrected = 0.443 eV/atom
# Theoretical density = 15.60 g/cm3
# Offset from the most stable computed form = 0.3871 eV/atom
data_W2Se
_space_group_name_H-M_alt 'I 4/m m m'
_space_group_IT_number 139
_space_group_name_Hall '-I 4 2'
_cell_length_a 3.0132
_cell_length_b 3.0132
_cell_length_c 10.4691
_cell_angle_alpha 90.00
_cell_angle_beta 90.00
_cell_angle_gamma 90.00
loop_
_atom_site_label
_atom_site_type_symbol
_atom_site_fract_x
_atom_site_fract_y
_atom_site_fract_z
_atom_site_occupancy
W1 W 0.0000 0.0000 0.1588 1
Se1 Se 0.0000 0.0000 0.5000 1

***

Entry 6:
# K2ZrMn, optimized geometry, DFT GGA-PBE
# Formation energy from the elements = 582 meV/atom
# Theoretical density = 2.54 g/cm3
# Offset from the most stable computed form = 0.0174 eV/atom
data_K2ZrMn
_space_group_name_H-M_alt 'I m m m'
_space_group_IT_number 71
_space_group_name_Hall '-I 2 2'
_cell_length_a 3.3373
_cell_length_b 4.1097
_cell_length_c 21.4094
_cell_angle_alpha 90.00
_cell_angle_beta 90.00
_cell_angle_gamma 90.00
loop_
_atom_site_label
_atom_site_type_symbol
_atom_site_fract_x
_atom_site_fract_y
_atom_site_fract_z
_atom_site_occupancy
K1 K 0.0000 0.0000 0.1508 1
Zr1 Zr 0.0000 0.5000 0.0000 1
Mn1 Mn 0.0000 0.5000 0.5000 1

***

Entry 7:
# CuHgH2F8, optimized geometry, DFT GGA-PBE
# Uncorrected energy = -0.1278 hartree per atom
# Theoretical density = 4.41 g/cm3
data_CuHgH2F8
_space_group_name_H-M_alt 'P -1'
_space_group_IT_number 2
_cell_length_a 3.4737
_cell_length_b 5.2571
_cell_length_c 9.4431
_cell_angle_alpha 100.72
_cell_angle_beta 95.57
_cell_angle_gamma 109.26
loop_
_space_group_symop_operation_xyz
'x,y,z'
'-x,-y,-z'
loop_
_atom_site_label
_atom_site_type_symbol
_atom_site_fract_x
_atom_site_fract_y
_atom_site_fract_z
_atom_site_occupancy
Cu1 Cu 0.0000 0.0000 0.0000 1
Hg1 Hg 0.5000 0.5000 0.5000 1
H1 H 0.2777 0.2452 0.7708 1
F1 F 0.0253 0.9821 0.1887 1
F2 F 0.1489 0.7712 0.5381 1
F3 F 0.2383 0.7478 0.9676 1
F4 F 0.4869 0.4000 0.7433 1

***

Entry 8:
# Tl2Si2As, optimized geometry, DFT GGA-PBE
# Energy relative to the elements, uncorrected = 0.352 eV/atom
# Theoretical density = 7.39 g/cm3
data_Tl2Si2As
_space_group_name_H-M_alt 'P 4/m b m'
_space_group_IT_number 127
_space_group_name_Hall '-P 4 2ab'
_cell_length_a 6.6110
_cell_length_b 6.6110
_cell_length_c 5.5485
_cell_angle_alpha 90.00
_cell_angle_beta 90.00
_cell_angle_gamma 90.00
loop_
_atom_site_label
_atom_site_type_symbol
_atom_site_fract_x
_atom_site_fract_y
_atom_site_fract_z
_atom_site_occupancy
Tl1 Tl 0.1876 0.3124 0.0000 1
Si1 Si 0.1258 0.6258 0.5000 1
As1 As 0.0000 0.0000 0.5000 1

***

Entry 9:
# AcCdPt2, optimized geometry, DFT GGA-PBE
# Formation energy from the elements = -624 meV/atom
# Theoretical density = 13.37 g/cm3
data_AcCdPt2
_space_group_name_H-M_alt 'P 4/m m m'
_space_group_IT_number 123
_space_group_name_Hall '-P 4 2'
_cell_length_a 4.9169
_cell_length_b 4.9169
_cell_length_c 3.7487
_cell_angle_alpha 90.00
_cell_angle_beta 90.00
_cell_angle_gamma 90.00
loop_
_atom_site_label
_atom_site_type_symbol
_atom_site_fract_x
_atom_site_fract_y
_atom_site_fract_z
_atom_site_occupancy
Ac1 Ac 0.0000 0.0000 0.0000 1
Cd1 Cd 0.5000 0.5000 0.0000 1
Pt1 Pt 0.0000 0.5000 0.5000 1

***

Entry 10:
# Ac4PuS5, optimized geometry, DFT GGA-PBE
# Energy relative to the elements, uncorrected = -1.937 eV/atom
# Theoretical density = 8.02 g/cm3
data_Ac4PuS5
_space_group_name_H-M_alt 'I 4/m'
_space_group_IT_number 87
_space_group_name_Hall '-I 4'
_cell_length_a 9.4985
_cell_length_b 9.4985
_cell_length_c 6.0218
_cell_angle_alpha 90.00
_cell_angle_beta 90.00
_cell_angle_gamma 90.00
loop_
_atom_site_label
_atom_site_type_symbol
_atom_site_fract_x
_atom_site_fract_y
_atom_site_fract_z
_atom_site_occupancy
Ac1 Ac 0.0967 0.6999 0.0000 1
Pu1 Pu 0.0000 0.0000 0.5000 1
S1 S 0.0000 0.0000 0.0000 1
S2 S 0.0977 0.7117 0.5000 1

***

Entry 11:
# TbTm2Cd3, optimized geometry, DFT GGA-PBE
# Formation energy from the elements = -314 meV/atom
# Theoretical density = 8.99 g/cm3
data_TbTm2Cd3
_space_group_name_H-M_alt 'C m m m'
_space_group_IT_number 65
_space_group_name_Hall '-C 2 2'
_cell_length_a 5.2423
_cell_length_b 15.7703
_cell_length_c 7.4565
_cell_angle_alpha 90.00
_cell_angle_beta 90.00
_cell_angle_gamma 90.00
loop_
_atom_site_label
_atom_site_type_symbol
_atom_site_fract_x
_atom_site_fract_y
_atom_site_fract_z
_atom_site_occupancy
Tb1 Tb 0.0000 0.1655 0.0000 1
Tm1 Tm 0.0000 0.1679 0.5000 1
Tm2 Tm 0.0000 0.5000 0.0000 1
Tm3 Tm 0.0000 0.5000 0.5000 1
Cd1 Cd 0.0000 0.0000 0.2558 1
Cd2 Cd 0.0000 0.3343 0.2547 1

***

Entry 12:
# PrNd2Ho6Mg, optimized geometry, DFT GGA-PBE
# Formation energy from the elements = 111 meV/atom
# Theoretical density = 7.46 g/cm3
data_PrNd2Ho6Mg
_space_group_name_H-M_alt 'C 1 2/c 1'
_space_group_IT_number 15
_cell_length_a 9.9696
_cell_length_b 19.5601
_cell_length_c 6.6845
_cell_angle_alpha 90.00
_cell_angle_beta 99.50
_cell_angle_gamma 90.00
loop_
_space_group_symop_operation_xyz
'x,y,z'
'-x,-y,-z'
'-x,y,-z+1/2'
'x,-y,z+1/2'
'x+1/2,y+1/2,z'
'-x+1/2,-y+1/2,-z'
'-x+1/2,y+1/2,-z+1/2'
'x+1/2,-y+1/2,z+1/2'
loop_
_atom_site_label
_atom_site_type_symbol
_atom_site_fract_x
_atom_site_fract_y
_atom_site_fract_z
_atom_site_occupancy
Pr1 Pr 0.0000 0.0082 0.2500 1
Nd1 Nd 0.2301 0.4178 0.0002 1
Ho1 Ho 0.0599 0.1478 0.5302 1
Ho2 Ho 0.1145 0.4093 0.4825 1
Ho3 Ho 0.1743 0.2604 0.2216 1
Mg1 Mg 0.0000 0.2920 0.7500 1